No. 1
Entry from Alexandria via LeMat-Bulk: a relaxed structure of Na5Ag3I12 (PBE).

```
80
Lattice="-9.751 9.751 9.751 9.751 -9.751 9.751 9.751 9.751 -9.751" Properties=species:S:1:pos:R:3 pbc="T T T"
Na 0.000 0.000 0.000
Na 4.875 4.875 -4.875
Na 4.875 -4.875 4.875
Na 9.751 0.000 0.000
Na 14.626 2.438 0.000
Na 9.751 -4.875 7.313
Na 7.313 9.751 -4.875
Na 7.313 0.000 4.875
Na 4.875 7.313 0.000
Na 9.751 4.875 2.438
Na -4.875 4.875 4.875
Na 0.000 9.751 0.000
Na 0.000 0.000 9.751
Na 4.875 4.875 4.875
Na 0.000 4.875 7.313
Na 4.875 2.438 9.751
Na 2.438 9.751 4.875
Na 2.438 0.000 14.626
Na 0.000 14.626 2.438
Na -4.875 7.313 9.751
Ag 4.875 2.438 0.000
Ag 9.751 4.875 -2.438
Ag 2.438 0.000 4.875
Ag 12.189 0.000 4.875
Ag 0.000 4.875 2.438
Ag 4.875 -2.438 9.751
Ag 4.875 12.189 0.000
Ag 9.751 4.875 7.313
Ag -2.438 9.751 4.875
Ag 7.313 9.751 4.875
Ag 0.000 4.875 12.189
Ag 4.875 7.313 9.751
I 12.886 -0.224 0.396
I 11.491 -4.480 4.651
I 3.135 0.224 0.396
I 11.491 5.271 -4.651
I 9.975 -0.396 3.135
I 14.402 -1.740 4.480
I 5.271 4.651 -1.740
I 9.355 3.135 -0.224
I 0.396 3.135 0.224
I 14.231 5.100 -1.740
I 0.224 0.396 3.135
I 4.651 -1.740 5.271
I 9.975 9.355 -3.135
I 4.651 1.740 4.480
I 4.480 4.651 1.740
I 10.147 6.616 -0.224
I 5.271 -4.651 11.491
I 9.355 -3.135 9.975
I 4.651 11.491 -4.480
I 9.975 0.396 6.616
I 1.740 4.480 4.651
I 3.135 -0.224 9.355
I 3.135 9.975 -0.396
I 11.491 4.480 5.100
I -1.740 5.271 4.651
I 6.616 -0.224 10.147
I 6.616 9.975 0.396
I 8.010 5.271 5.100
I -0.224 9.355 3.135
I 5.100 -1.740 14.231
I 0.396 12.886 -0.224
I 4.480 14.402 -1.740
I -0.396 3.135 9.975
I 5.271 5.100 8.010
I 5.100 8.010 5.271
I -0.224 0.396 12.886
I 5.100 11.491 4.480
I 9.527 9.355 6.616
I -4.480 4.651 11.491
I 9.355 6.616 9.527
I 0.396 6.616 9.975
I 4.480 5.100 11.491
I -4.651 11.491 5.271
I -0.224 10.147 6.616
I -1.740 4.480 14.402
I 6.616 9.527 9.355
I -1.740 14.231 5.100
I -3.135 9.975 9.355
```

Values from the calculation:
- VASP energy: -174.4 eV for the cell shown
- Uncorrected formation energy: -492 meV per atom
- SG: Ia-3d, No. 230
- N(E_F): 83.078 states/eV per cell
- Total magnetic moment: 0.058 μB/atom

No. 2
Entry from Alexandria via LeMat-Bulk: a relaxed structure of LiNdErSn (PBE).

```
16
Lattice="7.467 0.000 0.000 0.000 7.467 0.000 0.000 0.000 7.467" Properties=species:S:1:pos:R:3 pbc="T T T"
Li 0.000 0.000 0.000
Li 0.000 3.733 3.733
Li 3.733 0.000 3.733
Li 3.733 3.733 0.000
Nd 1.867 1.867 1.867
Nd 1.867 5.600 5.600
Nd 5.600 1.867 5.600
Nd 5.600 5.600 1.867
Er 1.867 1.867 5.600
Er 1.867 5.600 1.867
Er 5.600 1.867 1.867
Er 5.600 5.600 5.600
Sn 0.000 0.000 3.733
Sn 0.000 3.733 0.000
Sn 3.733 0.000 0.000
Sn 3.733 3.733 3.733
```

Values from the calculation:
- VASP energy: -67.6 eV for the cell shown
- SG: F-43m, No. 216
- N(E_F): 10.533 states/eV per cell
- Total magnetic moment: 0.000 μB/atom
- DFT formation energy: -415 meV/atom

No. 3
Entry from Alexandria via LeMat-Bulk: a relaxed structure of Se3BrO (PBE).

```
5
Lattice="4.616 0.000 0.000 0.000 4.616 0.000 0.000 0.000 4.616" Properties=species:S:1:pos:R:3 pbc="T T T"
Se 0.000 0.000 2.308
Se 0.000 2.308 0.000
Se 2.308 0.000 0.000
Br 2.308 2.308 2.308
O 0.000 0.000 0.000
```

Values from the calculation:
- VASP energy: -13.4 eV for the cell shown
- Excess energy over the best structure of this formula in the dataset: 0.000 eV per atom
- Uncorrected formation energy: 733 meV per atom
- SG: Pm-3m, No. 221
- N(E_F): 4.452 states/eV per cell
- Total magnetic moment: 0.000 μB/atom

No. 4
Entry from Alexandria via LeMat-Bulk: a relaxed structure of Ba2ScCrPd (PBE).

```
5
Lattice="6.250 0.000 0.000 0.000 6.250 0.000 0.000 0.000 4.561" Properties=species:S:1:pos:R:3 pbc="T T T"
Ba 0.000 3.125 0.000
Ba 3.125 0.000 0.000
Sc 0.000 0.000 0.000
Cr 0.000 0.000 2.281
Pd 3.125 3.125 2.281
```

Values from the calculation:
- VASP energy: -20.3 eV for the cell shown
- SG: P4/mmm, No. 123
- N(E_F): 4.833 states/eV per cell
- Total magnetic moment: 0.383 μB/atom
- DFT formation energy: 932 meV/atom